The following is a DFT calculation (SCAN) of a PBEsol-optimized structure of Ta4SiBr.

Cell lengths 5.4369, 5.4369, 5.4369 Å; angles 60.00, 60.00, 60.00 degrees
Closest atoms and distances in Å follow each position.
Element x y z (fractional)
Ta  0.1246  0.1246  0.1246  6 Ta 2.71-2.73
Ta  0.1246  0.1246  0.6263  6 Ta 2.71-2.73
Ta  0.1246  0.6263  0.1246  6 Ta 2.71-2.73
Ta  0.6263  0.1246  0.1246  6 Ta 2.71-2.73
Si  0.7500  0.7500  0.7500  12 Ta 3.19, 4 Br 3.33
Br  0.5000  0.5000  0.5000  12 Ta 3.19, 4 Si 3.33

- magnetization (μB per formula unit) = 0.00
- formation energy without anion corrections (eV/atom) = 0.8861
- energy (eV per atom) = -48.4153